Re2AgOs after structural relaxation, computed with GGA-PBE.

The value obtained for the density of states at the Fermi level is 4.0 states/eV/f.u. The energy is -9.075 eV per atom. As for the energy above the most stable polymorph in this dataset: 380 meV/atom.

The structure belongs to space group P4/mmm (No. 123); the cell edges are 3.903, 3.903 and 3.980 Å and the angles 90.00°, 90.00° and 90.00°. The asymmetric unit holds Re at (0.000, 0.500, 0.000), Ag at (0.000, 0.000, 0.500) and Os at (0.500, 0.500, 0.500).

=====

Re2AgOs after structural relaxation, computed with GGA-PBE.

The value obtained for the density of states at the Fermi level is 4.6 states/eV/f.u. The energy is -8.862 eV per atom. As for the energy above the most stable polymorph in this dataset: 593 meV/atom.

The structure belongs to space group Fm-3m (No. 225); the cell edges are 6.276, 6.276 and 6.276 Å and the angles 90.00°, 90.00° and 90.00°. The asymmetric unit holds Re at (0.250, 0.250, 0.250), Ag at (0.000, 0.000, 0.000) and Os at (0.000, 0.000, 0.500).

=====

ReAg4Os after structural relaxation, computed with GGA-PBE.

The value obtained for the density of states at the Fermi level is 5.5 states/eV/f.u. The energy is -4.706 eV per atom.

The structure belongs to space group F-43m (No. 216); the cell edges are 7.381, 7.381 and 7.381 Å and the angles 90.00°, 90.00° and 90.00°. The asymmetric unit holds Re at (0.000, 0.000, 0.000), Ag at (0.125, 0.125, 0.625) and Os at (0.250, 0.250, 0.250).

=====

Re2AgOs after structural relaxation, computed with GGA-PBE.

The value obtained for the density of states at the Fermi level is 2.2 states/eV/f.u. The energy is -9.119 eV per atom. As for the energy above the most stable polymorph in this dataset: 337 meV/atom.

The structure belongs to space group Immm (No. 71); the cell edges are 2.776, 4.629 and 10.107 Å and the angles 90.00°, 90.00° and 90.00°. The asymmetric unit holds Re at (0.000, 0.000, 0.216), Ag at (0.000, 0.500, 0.000) and Os at (0.000, 0.500, 0.500).

=====

ReAgOs3 after structural relaxation, computed with GGA-PBE.

The value obtained for the density of states at the Fermi level is 7.7 states/eV/f.u. The energy is -6.334 eV per atom. As for the energy above the most stable polymorph in this dataset: 1239 meV/atom.

The structure belongs to space group Pm-3m (No. 221); the cell edges are 4.619, 4.619 and 4.619 Å and the angles 90.00°, 90.00° and 90.00°. The asymmetric unit holds Re at (0.000, 0.000, 0.000), Ag at (0.500, 0.500, 0.500) and Os at (0.000, 0.500, 0.500).

=====

Re2AgOs after structural relaxation, computed with GGA-PBE.

The value obtained for the density of states at the Fermi level is 2.6 states/eV/f.u. The energy is -9.285 eV per atom. As for the energy above the most stable polymorph in this dataset: 170 meV/atom.

The structure belongs to space group Pmmm (No. 47); the cell edges are 2.760, 4.005 and 5.529 Å and the angles 90.00°, 90.00° and 90.00°. The asymmetric unit holds Re at (0.000, 0.000, 0.231), Ag at (0.500, 0.500, 0.500) and Os at (0.500, 0.500, 0.000).

=====

Re2AgOs after structural relaxation, computed with GGA-PBE.

The value obtained for the density of states at the Fermi level is 3.9 states/eV/f.u. The energy is -9.140 eV per atom. As for the energy above the most stable polymorph in this dataset: 315 meV/atom.

The structure belongs to space group I-4m2 (No. 119); the cell edges are 3.949, 3.949 and 7.797 Å and the angles 90.00°, 90.00° and 90.00°. The asymmetric unit holds Re at (0.000, 0.000, 0.000), Re at (0.000, 0.500, 0.250), Ag at (0.000, 0.500, 0.750) and Os at (0.000, 0.000, 0.500).

=====

Re2AgOs after structural relaxation, computed with GGA-PBE.

The value obtained for the density of states at the Fermi level is 2.3 states/eV/f.u. The energy is -9.288 eV per atom. As for the energy above the most stable polymorph in this dataset: 167 meV/atom.

The structure belongs to space group Cm (No. 8); the cell edges are 9.368, 2.760 and 4.845 Å and the angles 90.00°, 100.51° and 90.00°. The asymmetric unit holds Re at (0.000, 0.000, 0.000), Re at (0.241, 0.500, 0.232), Ag at (0.004, 0.500, 0.503) and Os at (0.268, 0.000, 0.776).

=====

Re2AgOs after structural relaxation, computed with GGA-PBE.

The value obtained for the density of states at the Fermi level is 2.9 states/eV/f.u. The energy is -9.326 eV per atom. As for the energy above the most stable polymorph in this dataset: 129 meV/atom.

The structure belongs to space group P4/mmm (No. 123); the cell edges are 2.747, 2.747 and 8.155 Å and the angles 90.00°, 90.00° and 90.00°. The asymmetric unit holds Re at (0.000, 0.000, 0.233), Ag at (0.500, 0.500, 0.500) and Os at (0.500, 0.500, 0.000).

=====

Re2AgOs after structural relaxation, computed with GGA-PBE.

The value obtained for the density of states at the Fermi level is 3.5 states/eV/f.u. The energy is -9.015 eV per atom. As for the energy above the most stable polymorph in this dataset: 441 meV/atom.

The structure belongs to space group F-43m (No. 216); the cell edges are 6.271, 6.271 and 6.271 Å and the angles 90.00°, 90.00° and 90.00°. The asymmetric unit holds Re at (0.000, 0.000, 0.000), Re at (0.250, 0.250, 0.250), Ag at (0.000, 0.000, 0.500) and Os at (0.250, 0.250, 0.750).

=====

Re2AgOs after structural relaxation, computed with GGA-PBE.

The value obtained for the density of states at the Fermi level is 4.8 states/eV/f.u. The energy is -8.664 eV per atom. As for the energy above the most stable polymorph in this dataset: 791 meV/atom.

The structure belongs to space group I-42d (No. 122); the cell edges are 7.363, 7.363 and 5.267 Å and the angles 90.00°, 90.00° and 90.00°. The asymmetric unit holds Re at (0.196, 0.250, 0.125), Ag at (0.000, 0.000, 0.500) and Os at (0.000, 0.000, 0.000).

=====

Re2AgOs after structural relaxation, computed with GGA-PBE.

The value obtained for the density of states at the Fermi level is 3.3 states/eV/f.u. The energy is -9.221 eV per atom. As for the energy above the most stable polymorph in this dataset: 234 meV/atom.

The structure belongs to space group Cmm2 (No. 35); the cell edges are 2.859, 4.593 and 9.578 Å and the angles 90.00°, 90.00° and 90.00°. The asymmetric unit holds Re at (0.000, 0.000, 0.000), Re at (0.000, 0.500, 0.235), Ag at (0.000, 0.500, 0.735) and Os at (0.000, 0.000, 0.470).

=====

energy of number 2 (Re2AgOs)?
-8.862 eV per atom

=====

Among the records above, which one has the highest energy?
ReAg4Os

=====

Which of these has the lowest density of states at the Fermi level?
number 4

=====

Look up the density of states at the Fermi level of the ninth one.
2.9 states/eV/f.u.